[1]
Here is a crystal of Ni2SbRu relaxed with PBEsol from Alexandria. Energies are from SCAN.

a b c (Å): 3.0351 4.2907 4.2782
angles (deg): 103.16 90.00 90.00
Fractional coordinates of all 4 atoms:
1 Ni 0.0000 0.0000 0.0000
2 Ni 0.5000 0.5000 0.0000
3 Ru 0.5000 0.0000 0.5000
4 Sb 0.0000 0.5000 0.5000

The space-group type is P2/m. The magnetization comes out at 0.00 μB/f.u. The value obtained for the calculated volume is 54 Å³/cell. Its formation energy from raw total energies is 0.59 eV per formula unit.

=====

[2]
Here is a crystal of TlIn2Hg relaxed with PBEsol from Alexandria. Energies are from SCAN.

a b c (Å): 3.3951 3.3951 8.7503
angles (deg): 90.00 90.00 90.00
Fractional coordinates of all 4 atoms:
1 Tl 0.5000 0.5000 0.0000
2 Hg 0.5000 0.5000 0.5000
3 In 0.0000 0.0000 0.7300
4 In 0.0000 0.0000 0.2700

The space-group type is P4/mmm. The magnetization comes out at 0.00 μB/f.u. The value obtained for the calculated volume is 101 Å³/cell. Its energy relative to the elements is 0.052 eV/atom.

=====

[3]
Here is a crystal of Pt2Pb3 relaxed with PBEsol from Alexandria. Energies are from SCAN.

a b c (Å): 3.9454 3.9454 9.2666
angles (deg): 77.71 77.71 60.00
Fractional coordinates of all 5 atoms:
1 Pb 0.0000 0.0000 0.0000
2 Pb 0.2148 0.2148 0.3555
3 Pb 0.7852 0.7852 0.6445
4 Pt 0.3937 0.3937 0.8188
5 Pt 0.6063 0.6063 0.1812

The space-group type is R-3m. The magnetization comes out at 0.00 μB/f.u. The value obtained for the calculated volume is 121 Å³/cell. Its energy relative to the elements is -0.151 eV/atom.

=====

[4]
Here is a crystal of Y2BeAu relaxed with PBEsol from Alexandria. Energies are from SCAN.

a b c (Å): 3.8069 4.3797 5.8104
angles (deg): 101.71 90.00 90.00
Fractional coordinates of all 4 atoms:
1 Y 0.0000 0.0000 0.0000
2 Y 0.5000 0.5000 0.5000
3 Be 0.0000 0.0000 0.5000
4 Au 0.5000 0.5000 0.0000

The space-group type is P2/m. The magnetization comes out at 0.00 μB/f.u. The value obtained for the calculated volume is 95 Å³/cell. Its energy relative to the elements is -0.261 eV/atom.

=====

[5]
Here is a crystal of BaNa3Mn relaxed with PBEsol from Alexandria. Energies are from SCAN.

a b c (Å): 5.7993 5.7993 5.7993
angles (deg): 90.00 90.00 90.00
Fractional coordinates of all 5 atoms:
1 Na 0.0000 0.5000 0.0000
2 Na 0.0000 0.0000 0.5000
3 Na 0.5000 0.0000 0.0000
4 Mn 0.0000 0.0000 0.0000
5 Ba 0.5000 0.5000 0.5000

The space-group type is Pm-3m. The magnetization comes out at 4.51 μB/f.u. The value obtained for the calculated volume is 195 Å³/cell. Its energy relative to the elements is 0.368 eV/atom.

=====

[6]
Here is a crystal of Na2SrP2 relaxed with PBEsol from Alexandria. Energies are from SCAN.

a b c (Å): 4.3542 4.3542 6.7609
angles (deg): 108.78 108.78 90.00
Fractional coordinates of all 5 atoms:
1 Sr 0.0000 0.0000 0.0000
2 P 0.4059 0.4059 0.8117
3 P 0.5941 0.5941 0.1883
4 Na 0.2500 0.7500 0.5000
5 Na 0.7500 0.2500 0.5000

The space-group type is I4/mmm. The magnetization comes out at 0.00 μB/f.u. The value obtained for the calculated volume is 114 Å³/cell. Its energy relative to the elements is -0.696 eV/atom.